(1)
# RbBaSnSe2 (PBE, relaxed)
data_RbBaSnSe2
_symmetry_space_group_name_H-M 'P 1'
_symmetry_Int_Tables_number 1
_cell_length_a 6.025
_cell_length_b 6.025
_cell_length_c 5.684
_cell_angle_alpha 90.00
_cell_angle_beta 90.00
_cell_angle_gamma 90.00
loop_
_symmetry_equiv_pos_as_xyz
'x,y,z'
loop_
_atom_site_label
_atom_site_type_symbol
_atom_site_fract_x
_atom_site_fract_y
_atom_site_fract_z
Rb1 Rb 0.000 0.000 0.000
Ba1 Ba 0.500 0.500 0.500
Sn1 Sn 0.000 0.000 0.500
Se1 Se 0.000 0.500 0.000
Se2 Se 0.500 0.000 0.000
# symmetry	P4/mmm


(2)
# RbBa2SnSe4 (PBE, relaxed)
data_RbBa2SnSe4
_symmetry_space_group_name_H-M 'P 1'
_symmetry_Int_Tables_number 1
_cell_length_a 9.203
_cell_length_b 9.203
_cell_length_c 9.203
_cell_angle_alpha 120.11
_cell_angle_beta 119.13
_cell_angle_gamma 90.66
loop_
_symmetry_equiv_pos_as_xyz
'x,y,z'
loop_
_atom_site_label
_atom_site_type_symbol
_atom_site_fract_x
_atom_site_fract_y
_atom_site_fract_z
Rb1 Rb 0.500 0.000 0.000
Rb2 Rb 0.500 0.500 0.500
Ba1 Ba 0.000 0.000 0.000
Ba2 Ba 0.000 0.000 0.500
Ba3 Ba 0.000 0.500 0.000
Ba4 Ba 0.500 0.000 0.500
Sn1 Sn 0.000 0.500 0.500
Sn2 Sn 0.500 0.500 0.000
Se1 Se 0.215 0.723 0.492
Se2 Se 0.247 0.263 0.516
Se3 Se 0.247 0.731 0.984
Se4 Se 0.268 0.277 0.992
Se5 Se 0.732 0.723 0.008
Se6 Se 0.753 0.269 0.016
Se7 Se 0.753 0.737 0.484
Se8 Se 0.785 0.277 0.508
# symmetry	Imma


(3)
# Rb2BaSnSe4 (PBE, relaxed)
data_Rb2BaSnSe4
_symmetry_space_group_name_H-M 'P 1'
_symmetry_Int_Tables_number 1
_cell_length_a 9.261
_cell_length_b 9.261
_cell_length_c 9.261
_cell_angle_alpha 122.99
_cell_angle_beta 117.72
_cell_angle_gamma 89.45
loop_
_symmetry_equiv_pos_as_xyz
'x,y,z'
loop_
_atom_site_label
_atom_site_type_symbol
_atom_site_fract_x
_atom_site_fract_y
_atom_site_fract_z
Rb1 Rb 0.000 0.000 0.000
Rb2 Rb 0.500 0.000 0.000
Rb3 Rb 0.500 0.000 0.500
Rb4 Rb 0.500 0.500 0.500
Ba1 Ba 0.000 0.500 0.500
Ba2 Ba 0.500 0.500 0.000
Sn1 Sn 0.000 0.000 0.500
Sn2 Sn 0.000 0.500 0.000
Se1 Se 0.199 0.748 0.451
Se2 Se 0.203 0.252 0.951
Se3 Se 0.207 0.213 0.506
Se4 Se 0.207 0.701 0.994
Se5 Se 0.793 0.299 0.006
Se6 Se 0.793 0.787 0.494
Se7 Se 0.797 0.748 0.049
Se8 Se 0.801 0.252 0.549
# symmetry	Imma


(4)
# RbBaTaSe4 (PBE, relaxed)
data_RbBaTaSe4
_symmetry_space_group_name_H-M 'P 1'
_symmetry_Int_Tables_number 1
_cell_length_a 7.511
_cell_length_b 7.335
_cell_length_c 9.692
_cell_angle_alpha 90.00
_cell_angle_beta 107.31
_cell_angle_gamma 90.00
loop_
_symmetry_equiv_pos_as_xyz
'x,y,z'
loop_
_atom_site_label
_atom_site_type_symbol
_atom_site_fract_x
_atom_site_fract_y
_atom_site_fract_z
Rb1 Rb 0.217 0.250 0.430
Rb2 Rb 0.783 0.750 0.570
Ba1 Ba 0.268 0.250 0.952
Ba2 Ba 0.732 0.750 0.048
Ta1 Ta 0.295 0.750 0.195
Ta2 Ta 0.705 0.250 0.805
Se1 Se 0.093 0.750 0.347
Se2 Se 0.120 0.750 0.941
Se3 Se 0.497 0.509 0.757
Se4 Se 0.497 0.991 0.757
Se5 Se 0.503 0.009 0.243
Se6 Se 0.503 0.491 0.243
Se7 Se 0.880 0.250 0.059
Se8 Se 0.907 0.250 0.653
# symmetry	P2_1/m


(5)
# RbBaTeSe2 (PBE, relaxed)
data_RbBaTeSe2
_symmetry_space_group_name_H-M 'P 1'
_symmetry_Int_Tables_number 1
_cell_length_a 8.197
_cell_length_b 5.115
_cell_length_c 9.734
_cell_angle_alpha 90.00
_cell_angle_beta 100.18
_cell_angle_gamma 90.00
loop_
_symmetry_equiv_pos_as_xyz
'x,y,z'
loop_
_atom_site_label
_atom_site_type_symbol
_atom_site_fract_x
_atom_site_fract_y
_atom_site_fract_z
Rb1 Rb 0.000 0.140 0.250
Rb2 Rb 0.000 0.860 0.750
Ba1 Ba 0.500 0.491 0.750
Ba2 Ba 0.500 0.509 0.250
Te1 Te 0.500 0.000 0.000
Te2 Te 0.500 0.000 0.500
Se1 Se 0.239 0.363 0.966
Se2 Se 0.239 0.637 0.466
Se3 Se 0.761 0.363 0.534
Se4 Se 0.761 0.637 0.034
# symmetry	P2/c


(6)
# RbBaTe2Se (PBE, relaxed)
data_RbBaTe2Se
_symmetry_space_group_name_H-M 'P 1'
_symmetry_Int_Tables_number 1
_cell_length_a 6.076
_cell_length_b 6.076
_cell_length_c 5.838
_cell_angle_alpha 90.00
_cell_angle_beta 90.00
_cell_angle_gamma 90.00
loop_
_symmetry_equiv_pos_as_xyz
'x,y,z'
loop_
_atom_site_label
_atom_site_type_symbol
_atom_site_fract_x
_atom_site_fract_y
_atom_site_fract_z
Rb1 Rb 0.000 0.000 0.000
Ba1 Ba 0.500 0.500 0.000
Te1 Te 0.000 0.500 0.500
Te2 Te 0.500 0.000 0.500
Se1 Se 0.500 0.500 0.500
# symmetry	P4/mmm


| no. | total magnetization (μB/cell) | E_form (uncorrected) (meV/atom) |
| --- | --- | --- |
| 1 | 0.89 | 37 |
| 2 | 0.00 | -1229 |
| 3 | 0.00 | -1027 |
| 4 | 0.00 | -1329 |
| 5 | 0.00 | -1090 |
| 6 | 0.00 | -671 |